Entry from the Alexandria database: crystalline GdNbGe2 at its relaxed geometry (PBE-GGA).

Output
calculated density: 7.655 g cm⁻³
excess energy over the best structure of this formula in the dataset: 0.0000 eV/atom
symmetry: R-3m, No. 166
raw total energy: -8.85 eV per atom
DOS(E_F): 1.68 states/eV/f.u.
formation energy: -0.501 eV/atom

a = 3.870 Å, b = 3.870 Å, c = 6.981 Å
α = 73.91°, β = 73.91°, γ = 60.00°
Site moments in Bohr magnetons follow the coordinates.
Fractional coordinates of all 4 atoms:
Nb: 0.000 0.000 0.000  -0.09
Gd: 0.500 0.500 0.500  6.99
Ge: 0.740 0.740 0.780  -0.02
Ge: 0.260 0.260 0.220  -0.02


Entry from the Alexandria database: crystalline Na2YPt at its relaxed geometry (PBE-GGA).

Output
calculated density: 6.244 g cm⁻³
excess energy over the best structure of this formula in the dataset: 0.3530 eV/atom
symmetry: Fm-3m, No. 225
raw total energy: -3.68 eV per atom
DOS(E_F): 3.81 states/eV/f.u.
formation energy: 0.107 eV/atom

a = 4.988 Å, b = 4.988 Å, c = 4.988 Å
α = 60.00°, β = 60.00°, γ = 60.00°
Fractional coordinates of all 4 atoms:
Y: 0.000 0.000 0.000
Na: 0.250 0.250 0.250
Na: 0.750 0.750 0.750
Pt: 0.500 0.500 0.500


Entry from the Alexandria database: crystalline La2Cd3Hg4 at its relaxed geometry (PBE-GGA).

Output
calculated density: 10.156 g cm⁻³
excess energy over the best structure of this formula in the dataset: 0.0000 eV/atom
symmetry: P-1, No. 2
raw total energy: -1.91 eV per atom
DOS(E_F): 3.44 states/eV/f.u.
formation energy: -0.378 eV/atom

a = 5.197 Å, b = 5.205 Å, c = 9.888 Å
α = 89.17°, β = 89.81°, γ = 60.05°
Fractional coordinates of all 9 atoms:
La: 0.331 0.341 0.779
La: 0.669 0.659 0.221
Cd: 0.336 0.324 0.427
Cd: 0.000 0.000 0.000
Cd: 0.664 0.676 0.573
Hg: 0.665 0.670 0.897
Hg: 0.004 0.988 0.347
Hg: 0.996 0.012 0.653
Hg: 0.335 0.330 0.103


no.,volume (Å³ per atom),magnetic moment (Bohr magnetons per cell)
1,21.44,6.9
2,21.94,0.0
3,25.75,0.0